VASP calculation (PBE) on AcBeBi3 after structural relaxation.

a b c (Å): 5.294 5.294 5.294
angles (deg): 90.00 90.00 90.00
Sites, in units of the cell vectors:
Ac: 0.000 0.000 0.000
Be: 0.500 0.500 0.500
Bi: 0.000 0.500 0.500
Bi: 0.500 0.000 0.500
Bi: 0.500 0.500 0.000

## Properties
- Energy of formation: -0.063 eV/atom
- N(E_F): 3.19 states/eV per cell


VASP calculation (PBE) on PIr2Os after structural relaxation.

a b c (Å): 2.855 3.951 5.197
angles (deg): 90.00 105.21 90.00
Sites, in units of the cell vectors:
P: 0.000 0.000 0.000
Ir: 0.362 0.500 0.239
Ir: 0.638 0.500 0.761
Os: 0.000 0.000 0.500

## Properties
- Energy of formation: 0.129 eV/atom
- N(E_F): 3.29 states/eV per cell


VASP calculation (PBE) on CaBeOsO5 after structural relaxation.

a b c (Å): 5.409 5.409 7.184
angles (deg): 104.53 104.53 106.37
Sites, in units of the cell vectors:
Ca: 0.159 0.841 0.750
Ca: 0.841 0.159 0.250
Be: 0.189 0.811 0.250
Be: 0.811 0.189 0.750
Os: 0.500 0.500 0.000
Os: 0.500 0.500 0.500
O: 0.124 0.258 0.910
O: 0.194 0.604 0.384
O: 0.258 0.124 0.410
O: 0.396 0.806 0.116
O: 0.424 0.576 0.750
O: 0.576 0.424 0.250
O: 0.604 0.194 0.884
O: 0.742 0.876 0.590
O: 0.806 0.396 0.616
O: 0.876 0.742 0.090

## Properties
- Energy relative to the elements, uncorrected: -1.93 eV/atom
- N(E_F): 5.60 states/eV per cell


VASP calculation (PBE) on BaNa4P2 after structural relaxation.

a b c (Å): 9.318 9.318 4.655
angles (deg): 90.00 90.00 151.02
Sites, in units of the cell vectors:
Ba: 0.000 0.000 0.000
Na: 0.164 0.836 0.500
Na: 0.334 0.666 0.000
Na: 0.666 0.334 0.000
Na: 0.836 0.164 0.500
P: 0.437 0.563 0.500
P: 0.563 0.437 0.500

## Properties
- Energy of formation: -0.402 eV/atom
- N(E_F): 1.81 states/eV per cell


VASP calculation (PBE) on GaHg2F after structural relaxation.

a b c (Å): 4.908 4.908 4.908
angles (deg): 60.00 60.00 60.00
Sites, in units of the cell vectors:
Ga: 0.000 0.000 0.000
Hg: 0.250 0.250 0.250
Hg: 0.750 0.750 0.750
F: 0.500 0.500 0.500

## Properties
- Energy relative to the elements, uncorrected: -0.49 eV/atom
- N(E_F): 0.49 states/eV per cell


VASP calculation (PBE) on Al3TlPb after structural relaxation.

a b c (Å): 5.288 5.288 5.288
angles (deg): 90.00 90.00 90.00
Sites, in units of the cell vectors:
Al: 0.000 0.000 0.500
Al: 0.000 0.500 0.000
Al: 0.500 0.000 0.000
Tl: 0.000 0.000 0.000
Pb: 0.500 0.500 0.500

## Properties
- Polymorph energy (0 for the lowest one): 0 meV per atom
- Energy of formation: 0.816 eV/atom
- N(E_F): 3.60 states/eV per cell


VASP calculation (PBE) on Ce2Sm3Os2 after structural relaxation.

a b c (Å): 6.358 6.358 8.796
angles (deg): 110.57 110.57 35.62
Sites, in units of the cell vectors:
Ce: 0.172 0.172 0.316
Ce: 0.828 0.828 0.684
Sm: 0.380 0.380 0.079
Sm: 0.500 0.500 0.500
Sm: 0.620 0.620 0.921
Os: 0.193 0.193 0.725
Os: 0.807 0.807 0.275

## Properties
- Energy of formation: -0.152 eV/atom
- N(E_F): 11.09 states/eV per cell


VASP calculation (PBE) on Ba2GaHPd after structural relaxation.

a b c (Å): 5.831 5.831 3.786
angles (deg): 90.00 90.00 90.00
Sites, in units of the cell vectors:
Ba: 0.000 0.500 0.000
Ba: 0.500 0.000 0.000
Ga: 0.000 0.000 0.500
H: 0.500 0.500 0.000
Pd: 0.500 0.500 0.500

## Properties
- Polymorph energy (0 for the lowest one): 68 meV per atom
- N(E_F): 3.08 states/eV per cell


VASP calculation (PBE) on BeFeRe3 after structural relaxation.

a b c (Å): 4.381 4.381 4.381
angles (deg): 90.00 90.00 90.00
Sites, in units of the cell vectors:
Be: 0.000 0.000 0.000
Fe: 0.500 0.500 0.500
Re: 0.000 0.500 0.500
Re: 0.500 0.000 0.500
Re: 0.500 0.500 0.000

## Properties
- Polymorph energy (0 for the lowest one): 914 meV per atom
- Energy of formation: 1.794 eV/atom
- N(E_F): 4.26 states/eV per cell


VASP calculation (PBE) on Dy12Co6Te after structural relaxation.

a b c (Å): 8.402 8.402 8.402
angles (deg): 109.47 109.47 109.47
Sites, in units of the cell vectors:
Dy: 0.110 0.803 0.307
Dy: 0.197 0.307 0.504
Dy: 0.197 0.693 0.890
Dy: 0.307 0.110 0.803
Dy: 0.307 0.504 0.197
Dy: 0.496 0.803 0.693
Dy: 0.504 0.197 0.307
Dy: 0.693 0.496 0.803
Dy: 0.693 0.890 0.197
Dy: 0.803 0.307 0.110
Dy: 0.803 0.693 0.496
Dy: 0.890 0.197 0.693
Co: 0.113 0.613 0.500
Co: 0.387 0.500 0.887
Co: 0.500 0.113 0.613
Co: 0.500 0.887 0.387
Co: 0.613 0.500 0.113
Co: 0.887 0.387 0.500
Te: 0.000 0.000 0.000

## Properties
- Energy relative to the elements, uncorrected: -0.31 eV/atom
- N(E_F): 12.92 states/eV per cell


VASP calculation (PBE) on K3TlAg2Br9 after structural relaxation.

a b c (Å): 7.788 7.788 9.669
angles (deg): 90.00 90.00 120.00
Sites, in units of the cell vectors:
K: 0.000 0.000 0.000
K: 0.333 0.667 0.711
K: 0.667 0.333 0.289
Tl: 0.000 0.000 0.500
Ag: 0.333 0.667 0.161
Ag: 0.667 0.333 0.839
Br: 0.000 0.500 0.000
Br: 0.167 0.335 0.325
Br: 0.167 0.833 0.325
Br: 0.335 0.167 0.675
Br: 0.500 0.000 0.000
Br: 0.500 0.500 0.000
Br: 0.665 0.833 0.325
Br: 0.833 0.167 0.675
Br: 0.833 0.665 0.675

## Properties
- Energy relative to the elements, uncorrected: -0.90 eV/atom
- N(E_F): 5.01 states/eV per cell


VASP calculation (PBE) on CeAlCu2Ni2 after structural relaxation.

a b c (Å): 5.005 5.005 4.120
angles (deg): 90.00 90.00 118.34
Sites, in units of the cell vectors:
Ce: 0.000 0.000 0.000
Al: 0.500 0.500 0.500
Cu: 0.000 0.500 0.500
Cu: 0.500 0.000 0.500
Ni: 0.336 0.664 0.000
Ni: 0.664 0.336 0.000

## Properties
- Polymorph energy (0 for the lowest one): 0 meV per atom
- Energy of formation: -0.367 eV/atom
- N(E_F): 6.86 states/eV per cell